DFT (PBE with a Hubbard U) results for a geometry-optimized LiFeF4 structure.

Cell lengths 8.4874, 5.2627, 8.2425 Å; angles 68.19, 90.00, 90.00 degrees
With the nearest neighbours (Å) after each atom.
Fractional coordinates of all 24 atoms:
F1 0.5942 0.8041 0.2424  1 Fe 1.86, 1 Li 1.88
F2 0.4058 0.1959 0.7576  1 Fe 1.86, 1 Li 1.88
F3 0.0548 0.2705 0.8706  1 Fe 1.85, 1 Li 1.89
F4 0.2174 0.7801 0.6373  1 Fe 1.85, 1 Li 1.88
F5 0.1233 0.3740 0.5194  2 Fe 1.99-2.07, 1 Li 2.05
F6 0.7826 0.2199 0.3627  1 Fe 1.85, 1 Li 1.88
F7 0.0942 0.1959 0.2576  1 Fe 1.86, 1 Li 1.88
F8 0.9452 0.7295 0.1294  1 Fe 1.85, 1 Li 1.89
F9 0.4452 0.2705 0.3706  1 Fe 1.85, 1 Li 1.89
F10 0.6233 0.6260 0.9806  2 Fe 1.99-2.07, 1 Li 2.05
F11 0.5548 0.7295 0.6294  1 Fe 1.85, 1 Li 1.89
F12 0.9058 0.8041 0.7424  1 Fe 1.86, 1 Li 1.88
F13 0.3767 0.3740 0.0194  2 Fe 1.99-2.07, 1 Li 2.05
F14 0.2826 0.7801 0.1373  1 Fe 1.85, 1 Li 1.88
F15 0.8767 0.6260 0.4806  2 Fe 1.99-2.07, 1 Li 2.05
F16 0.7174 0.2199 0.8627  1 Fe 1.85, 1 Li 1.88
Fe1 0.5336 0.4212 0.8303  5 F 1.85-2.07
Fe2 0.9664 0.4212 0.3303  5 F 1.85-2.07
Fe3 0.4664 0.5788 0.1697  5 F 1.85-2.07
Fe4 0.0336 0.5788 0.6697  5 F 1.85-2.07
Li1 0.6838 0.8766 0.4296  4 F 1.88-2.05
Li2 0.3162 0.1234 0.5704  4 F 1.88-2.05
Li3 0.1838 0.1234 0.0704  4 F 1.88-2.05
Li4 0.8162 0.8766 0.9296  4 F 1.88-2.05

## Properties
Polymorph energy (0 for the lowest one): 66 meV/atom
Space group: P2_1/c, No. 14
Energy: -122.02 eV/cell